Entry 1:
Computed, not measured: an optimized crystal structure of CaZr3 at the PBE level of DFT.

Lattice parameters (Å, degrees): 4.6504 4.6504 4.6504 90.00 90.00 90.00
Last column: nearest neighbours and their distance in Å.
Sites, in units of the cell vectors:
Ca 0.0000 0.0000 0.0000  12 Zr 3.29
Zr 0.0000 0.5000 0.5000  8 Zr 3.29, 4 Ca 3.29
Zr 0.5000 0.0000 0.5000  8 Zr 3.29, 4 Ca 3.29
Zr 0.5000 0.5000 0.0000  8 Zr 3.29, 4 Ca 3.29

Calculated density   5.18 g/cm3
SG   Pm-3m (221)
Calculated total energy   -0.485 Ry/atom
Formation energy from the elements   0.32 eV per atom



Entry 2:
Computed, not measured: an optimized crystal structure of CaZr3 at the PBE level of DFT.

Lattice parameters (Å, degrees): 5.5597 5.5597 6.2374 95.67 95.67 33.19
Last column: nearest neighbours and their distance in Å.
Sites, in units of the cell vectors:
Ca 0.0000 0.0000 0.0000  2 Ca 3.18, 10 Zr 3.29-3.54
Zr 0.2392 0.2392 0.7055  7 Zr 3.04-3.18, 1 Ca 3.29
Zr 0.5000 0.5000 0.5000  8 Zr 3.16-3.18, 4 Ca 3.50
Zr 0.7608 0.7608 0.2945  7 Zr 3.04-3.18, 1 Ca 3.29

Calculated density   4.96 g/cm3
SG   C2/m (12)
Calculated total energy   -0.491 Ry/atom
Formation energy from the elements   0.23 eV per atom



Entry 3:
Computed, not measured: an optimized crystal structure of CaZr at the PBE level of DFT.

Lattice parameters (Å, degrees): 8.6463 8.6463 8.6463 109.47 109.47 109.47
Last column: nearest neighbours and their distance in Å.
Sites, in units of the cell vectors:
Ca 0.0000 0.0000 0.5917  4 Zr 3.37-3.41
Ca 0.0000 0.5917 0.0000  4 Zr 3.37-3.41
Ca 0.4083 0.4083 0.4083  4 Zr 3.37-3.41
Ca 0.5917 0.0000 0.0000  4 Zr 3.37-3.41
Zr 0.0000 0.0000 0.1976  3 Zr 2.79
Zr 0.0000 0.1976 0.0000  3 Zr 2.79
Zr 0.1976 0.0000 0.0000  3 Zr 2.79
Zr 0.8024 0.8024 0.8024  3 Zr 2.79

Calculated density   1.75 g/cm3
SG   I-43m (217)
Calculated total energy   -0.301 Ry/atom
Formation energy from the elements   1.18 eV per atom



Entry 4:
Computed, not measured: an optimized crystal structure of CaZr5 at the PBE level of DFT.

Lattice parameters (Å, degrees): 3.2121 3.2121 14.7756 90.00 90.00 90.00
Last column: nearest neighbours and their distance in Å.
Sites, in units of the cell vectors:
Ca 0.0000 0.0000 0.0000  4 Ca 3.21
Zr 0.0000 0.0000 0.3458  12 Zr 3.14-3.22
Zr 0.0000 0.0000 0.6542  12 Zr 3.14-3.22
Zr 0.5000 0.5000 0.1993  8 Zr 3.14-3.21
Zr 0.5000 0.5000 0.5000  12 Zr 3.21-3.22
Zr 0.5000 0.5000 0.8007  8 Zr 3.14-3.21

Calculated density   5.40 g/cm3
SG   P4/mmm (123)
Calculated total energy   -0.539 Ry/atom
Formation energy from the elements   0.12 eV per atom



Entry 5:
Computed, not measured: an optimized crystal structure of Ca3Zr at the PBE level of DFT.

Lattice parameters (Å, degrees): 3.4751 3.4751 12.0018 90.00 90.00 108.93
Last column: nearest neighbours and their distance in Å.
Sites, in units of the cell vectors:
Ca 0.0000 0.0000 0.0000  8 Ca 3.48-3.86
Ca 0.5000 0.5000 0.2738  2 Zr 3.38, 4 Ca 3.48
Ca 0.5000 0.5000 0.7262  2 Zr 3.38, 4 Ca 3.48
Zr 0.0000 0.0000 0.5000  4 Ca 3.38, 4 Zr 3.48

Calculated density   2.56 g/cm3
SG   Cmmm (65)
Calculated total energy   -0.246 Ry/atom
Formation energy from the elements   0.29 eV per atom



Entry 6:
Computed, not measured: an optimized crystal structure of Cd at the PBE level of DFT.

Lattice parameters (Å, degrees): 3.0185 3.0923 8.4514 82.75 79.80 60.79
Last column: nearest neighbours and their distance in Å.
Sites, in units of the cell vectors:
Cd 0.0000 0.0000 0.0000  10 Cd 3.02-3.23
Cd 0.2390 0.1890 0.3341  11 Cd 3.02-3.30
Cd 0.7610 0.8110 0.6659  11 Cd 3.02-3.30

Calculated density   8.27 g/cm3
SG   P-1 (2)
Calculated total energy   -0.067 Ry/atom
Formation energy from the elements   0.00 eV per atom



Entry 7:
Computed, not measured: an optimized crystal structure of Cd at the PBE level of DFT.

Lattice parameters (Å, degrees): 3.1363 3.1363 3.1363 61.81 61.81 61.81
Last column: nearest neighbours and their distance in Å.
Sites, in units of the cell vectors:
Cd 0.0000 0.0000 0.0000  12 Cd 3.14-3.22

Calculated density   8.22 g/cm3
SG   R-3m (166)
Calculated total energy   -0.066 Ry/atom
Formation energy from the elements   0.01 eV per atom



Entry 8:
Computed, not measured: an optimized crystal structure of Cd at the PBE level of DFT.

Lattice parameters (Å, degrees): 7.8414 7.8414 7.8414 92.62 92.62 155.29
Last column: nearest neighbours and their distance in Å.
Sites, in units of the cell vectors:
Cd 0.0974 0.3612 0.4586  8 Cd 2.94-3.09
Cd 0.0985 0.8337 0.9321  6 Cd 2.94-3.09
Cd 0.1663 0.0985 0.2648  6 Cd 2.94-3.09
Cd 0.3612 0.9026 0.2637  8 Cd 2.94-3.09
Cd 0.6388 0.0974 0.7363  8 Cd 2.94-3.09
Cd 0.8337 0.9015 0.7352  6 Cd 2.94-3.09
Cd 0.9015 0.1663 0.0679  6 Cd 2.94-3.09
Cd 0.9026 0.6388 0.5414  8 Cd 2.94-3.09

Calculated density   7.58 g/cm3
SG   I4/m (87)
Calculated total energy   -0.063 Ry/atom
Formation energy from the elements   0.06 eV per atom



Entry 9:
Computed, not measured: an optimized crystal structure of Cd at the PBE level of DFT.

Lattice parameters (Å, degrees): 3.2542 3.2542 3.0971 102.00 102.00 126.70
Last column: nearest neighbours and their distance in Å.
Sites, in units of the cell vectors:
Cd 0.0000 0.0000 0.0000  10 Cd 2.92-3.25

Calculated density   8.01 g/cm3
SG   C2/m (12)
Calculated total energy   -0.067 Ry/atom
Formation energy from the elements   0.01 eV per atom



Entry 10:
Computed, not measured: an optimized crystal structure of Cd at the PBE level of DFT.

Lattice parameters (Å, degrees): 8.1268 8.1268 5.3780 90.00 90.00 120.00
Last column: nearest neighbours and their distance in Å.
Sites, in units of the cell vectors:
Cd 0.0000 0.2199 0.2500  11 Cd 2.89-3.23
Cd 0.0000 0.4246 0.7500  7 Cd 2.89-3.16
Cd 0.0000 0.5754 0.2500  7 Cd 2.89-3.16
Cd 0.0000 0.7801 0.7500  11 Cd 2.89-3.23
Cd 0.2199 0.0000 0.2500  11 Cd 2.89-3.23
Cd 0.2199 0.2199 0.7500  11 Cd 2.89-3.23
Cd 0.4246 0.0000 0.7500  7 Cd 2.89-3.16
Cd 0.4246 0.4246 0.2500  7 Cd 2.89-3.16
Cd 0.5754 0.0000 0.2500  7 Cd 2.89-3.16
Cd 0.5754 0.5754 0.7500  7 Cd 2.89-3.16
Cd 0.7801 0.0000 0.7500  11 Cd 2.89-3.23
Cd 0.7801 0.7801 0.2500  11 Cd 2.89-3.23

Calculated density   7.28 g/cm3
SG   P6_3/mcm (193)
Calculated total energy   -0.062 Ry/atom
Formation energy from the elements   0.07 eV per atom



Entry 11:
Computed, not measured: an optimized crystal structure of Cd at the PBE level of DFT.

Lattice parameters (Å, degrees): 4.4179 4.4179 4.4179 96.42 96.42 140.94
Last column: nearest neighbours and their distance in Å.
Sites, in units of the cell vectors:
Cd 0.3750 0.6250 0.7500  6 Cd 2.95-3.04
Cd 0.6250 0.3750 0.2500  6 Cd 2.95-3.04

Calculated density   7.29 g/cm3
SG   I4_1/amd (141)
Calculated total energy   -0.060 Ry/atom
Formation energy from the elements   0.10 eV per atom



Entry 12:
Computed, not measured: an optimized crystal structure of Cd at the PBE level of DFT.

Lattice parameters (Å, degrees): 3.1547 3.1547 10.5024 90.00 90.00 120.00
Last column: nearest neighbours and their distance in Å.
Sites, in units of the cell vectors:
Cd 0.0000 0.0000 0.0000  12 Cd 3.15-3.20
Cd 0.0000 0.0000 0.5000  12 Cd 3.15-3.20
Cd 0.3333 0.6667 0.2500  12 Cd 3.15-3.20
Cd 0.6667 0.3333 0.7500  12 Cd 3.15-3.20

Calculated density   8.25 g/cm3
SG   P6_3/mmc (194)
Calculated total energy   -0.066 Ry/atom
Formation energy from the elements   0.01 eV per atom



Copy entry 11 word for word.
Computed, not measured: an optimized crystal structure of Cd at the PBE level of DFT.

Lattice parameters (Å, degrees): 4.4179 4.4179 4.4179 96.42 96.42 140.94
Last column: nearest neighbours and their distance in Å.
Sites, in units of the cell vectors:
Cd 0.3750 0.6250 0.7500  6 Cd 2.95-3.04
Cd 0.6250 0.3750 0.2500  6 Cd 2.95-3.04

Calculated density   7.29 g/cm3
SG   I4_1/amd (141)
Calculated total energy   -0.060 Ry/atom
Formation energy from the elements   0.10 eV per atom



Question: Among the records above, which one has the highest calculated total energy?
Answer: number 11



Please write out number 3 again, unchanged.
Computed, not measured: an optimized crystal structure of CaZr at the PBE level of DFT.

Lattice parameters (Å, degrees): 8.6463 8.6463 8.6463 109.47 109.47 109.47
Last column: nearest neighbours and their distance in Å.
Sites, in units of the cell vectors:
Ca 0.0000 0.0000 0.5917  4 Zr 3.37-3.41
Ca 0.0000 0.5917 0.0000  4 Zr 3.37-3.41
Ca 0.4083 0.4083 0.4083  4 Zr 3.37-3.41
Ca 0.5917 0.0000 0.0000  4 Zr 3.37-3.41
Zr 0.0000 0.0000 0.1976  3 Zr 2.79
Zr 0.0000 0.1976 0.0000  3 Zr 2.79
Zr 0.1976 0.0000 0.0000  3 Zr 2.79
Zr 0.8024 0.8024 0.8024  3 Zr 2.79

Calculated density   1.75 g/cm3
SG   I-43m (217)
Calculated total energy   -0.301 Ry/atom
Formation energy from the elements   1.18 eV per atom



Question: Which value of formation energy from the elements does entry 1 give?
Answer: 0.32 eV per atom